1.
ErCuPt | PBE | optimized geometry

The structure in CIF format:
```
data_ErCuPt
_cell_length_a 6.359
_cell_length_b 6.359
_cell_length_c 6.359
_cell_angle_alpha 90.00
_cell_angle_beta 90.00
_cell_angle_gamma 90.00
_symmetry_space_group_name_H-M 'F -4 3 m'
_symmetry_Int_Tables_number 216
_symmetry_space_group_name_Hall 'F -4 2 3'
loop_
_atom_site_label
_atom_site_type_symbol
_atom_site_fract_x
_atom_site_fract_y
_atom_site_fract_z
Er1 Er 0.000 0.000 0.000
Cu1 Cu 0.000 0.000 0.500
Pt1 Pt 0.250 0.250 0.750
```

Summary:
DFT total energy = -64.97 eV for the cell shown

2.
CdTeAu2 | PBE | optimized geometry

The structure in CIF format:
```
data_CdTeAu2
_cell_length_a 7.048
_cell_length_b 7.048
_cell_length_c 7.048
_cell_angle_alpha 90.00
_cell_angle_beta 90.00
_cell_angle_gamma 90.00
_symmetry_space_group_name_H-M 'F -4 3 m'
_symmetry_Int_Tables_number 216
_symmetry_space_group_name_Hall 'F -4 2 3'
loop_
_atom_site_label
_atom_site_type_symbol
_atom_site_fract_x
_atom_site_fract_y
_atom_site_fract_z
Cd1 Cd 0.000 0.000 0.000
Te1 Te 0.250 0.250 0.750
Au1 Au 0.000 0.000 0.500
Au2 Au 0.250 0.250 0.250
```

Summary:
DFT total energy = -40.28 eV for the cell shown

3.
Zr4FePbN2 | PBE | optimized geometry

The structure in CIF format:
```
data_Zr4FePbN2
_cell_length_a 3.2676
_cell_length_b 3.2676
_cell_length_c 14.1765
_cell_angle_alpha 90.00
_cell_angle_beta 90.00
_cell_angle_gamma 120.00
_symmetry_space_group_name_H-M 'P -6 m 2'
_symmetry_Int_Tables_number 187
_symmetry_space_group_name_Hall 'P -6 2'
loop_
_atom_site_label
_atom_site_type_symbol
_atom_site_fract_x
_atom_site_fract_y
_atom_site_fract_z
Zr1 Zr 0.0000 0.0000 0.1371
Zr2 Zr 0.6667 0.3333 0.3227
Fe1 Fe 0.6667 0.3333 0.0000
Pb1 Pb 0.0000 0.0000 0.5000
N1 N 0.3333 0.6667 0.2307
```

Summary:
DFT total energy = -69.46 eV for the cell shown

4.
Pm5NdSe6 | PBE | optimized geometry

The structure in CIF format:
```
data_Pm5NdSe6
_cell_length_a 7.263
_cell_length_b 12.617
_cell_length_c 7.256
_cell_angle_alpha 90.00
_cell_angle_beta 109.61
_cell_angle_gamma 90.00
_symmetry_space_group_name_H-M 'C 1 2/m 1'
_symmetry_Int_Tables_number 12
_symmetry_space_group_name_Hall '-C 2y'
loop_
_atom_site_label
_atom_site_type_symbol
_atom_site_fract_x
_atom_site_fract_y
_atom_site_fract_z
Pm1 Pm 0.000 0.000 0.000
Pm2 Pm 0.000 0.166 0.500
Pm3 Pm 0.000 0.335 0.000
Nd1 Nd 0.000 0.500 0.500
Se1 Se 0.248 0.000 0.750
Se2 Se 0.249 0.168 0.249
```

Summary:
DFT total energy = -142.89 eV for the cell shown

5.
TmTlO3 | PBE | optimized geometry

The structure in CIF format:
```
data_TmTlO3
_cell_length_a 5.804
_cell_length_b 8.347
_cell_length_c 5.701
_cell_angle_alpha 90.00
_cell_angle_beta 90.00
_cell_angle_gamma 90.00
_symmetry_space_group_name_H-M 'P n m a'
_symmetry_Int_Tables_number 62
_symmetry_space_group_name_Hall '-P 2ac 2n'
loop_
_atom_site_label
_atom_site_type_symbol
_atom_site_fract_x
_atom_site_fract_y
_atom_site_fract_z
Tm1 Tm 0.000 0.000 0.000
Tl1 Tl 0.048 0.250 0.488
O1 O 0.091 0.750 0.127
O2 O 0.177 0.571 0.673
```

Summary:
DFT total energy = -128.55 eV for the cell shown

6.
Hf2TaBi2 | PBE | optimized geometry

The structure in CIF format:
```
data_Hf2TaBi2
_cell_length_a 4.210
_cell_length_b 4.210
_cell_length_c 13.689
_cell_angle_alpha 90.00
_cell_angle_beta 90.00
_cell_angle_gamma 90.00
_symmetry_space_group_name_H-M 'I 4/m m m'
_symmetry_Int_Tables_number 139
_symmetry_space_group_name_Hall '-I 4 2'
loop_
_atom_site_label
_atom_site_type_symbol
_atom_site_fract_x
_atom_site_fract_y
_atom_site_fract_z
Hf1 Hf 0.000 0.500 0.250
Ta1 Ta 0.000 0.000 0.000
Bi1 Bi 0.000 0.000 0.397
```

Summary:
DFT total energy = -70.99 eV for the cell shown

7.
LiCuNiMo | PBE | optimized geometry

The structure in CIF format:
```
data_LiCuNiMo
_cell_length_a 5.822
_cell_length_b 5.822
_cell_length_c 5.822
_cell_angle_alpha 90.00
_cell_angle_beta 90.00
_cell_angle_gamma 90.00
_symmetry_space_group_name_H-M 'F -4 3 m'
_symmetry_Int_Tables_number 216
_symmetry_space_group_name_Hall 'F -4 2 3'
loop_
_atom_site_label
_atom_site_type_symbol
_atom_site_fract_x
_atom_site_fract_y
_atom_site_fract_z
Li1 Li 0.000 0.000 0.000
Cu1 Cu 0.000 0.000 0.500
Ni1 Ni 0.250 0.250 0.750
Mo1 Mo 0.250 0.250 0.250
```

Summary:
DFT total energy = -81.80 eV for the cell shown

8.
CsDyTmSe3 | PBE | optimized geometry

The structure in CIF format:
```
data_CsDyTmSe3
_cell_length_a 4.480
_cell_length_b 16.362
_cell_length_c 11.178
_cell_angle_alpha 90.00
_cell_angle_beta 90.00
_cell_angle_gamma 90.00
_symmetry_space_group_name_H-M 'C m c m'
_symmetry_Int_Tables_number 63
_symmetry_space_group_name_Hall '-C 2c 2'
loop_
_atom_site_label
_atom_site_type_symbol
_atom_site_fract_x
_atom_site_fract_y
_atom_site_fract_z
Cs1 Cs 0.000 0.239 0.250
Dy1 Dy 0.000 0.500 0.000
Tm1 Tm 0.000 0.033 0.750
Se1 Se 0.000 0.117 0.545
Se2 Se 0.000 0.442 0.750
```

Summary:
DFT total energy = -119.08 eV for the cell shown

9.
HoNbN2O | PBE | optimized geometry

The structure in CIF format:
```
data_HoNbN2O
_cell_length_a 7.888
_cell_length_b 7.893
_cell_length_c 10.955
_cell_angle_alpha 90.00
_cell_angle_beta 133.32
_cell_angle_gamma 90.00
_symmetry_space_group_name_H-M 'P 1 21/c 1'
_symmetry_Int_Tables_number 14
_symmetry_space_group_name_Hall '-P 2ybc'
loop_
_atom_site_label
_atom_site_type_symbol
_atom_site_fract_x
_atom_site_fract_y
_atom_site_fract_z
Ho1 Ho 0.060 0.231 0.030
Ho2 Ho 0.437 0.736 0.470
Nb1 Nb 0.022 0.010 0.267
Nb2 Nb 0.480 0.501 0.225
N1 N 0.037 0.746 0.217
N2 N 0.184 0.565 0.001
N3 N 0.310 0.053 0.311
N4 N 0.459 0.246 0.679
O1 O 0.186 0.545 0.498
O2 O 0.321 0.049 0.823
```

Summary:
DFT total energy = -361.98 eV for the cell shown

10.
Y3In3Ag2Au | PBE | optimized geometry

The structure in CIF format:
```
data_Y3In3Ag2Au
_cell_length_a 7.8561
_cell_length_b 7.8561
_cell_length_c 3.9380
_cell_angle_alpha 90.00
_cell_angle_beta 90.00
_cell_angle_gamma 120.00
_symmetry_space_group_name_H-M 'P -6 2 m'
_symmetry_Int_Tables_number 189
_symmetry_space_group_name_Hall 'P -6 -2'
loop_
_atom_site_label
_atom_site_type_symbol
_atom_site_fract_x
_atom_site_fract_y
_atom_site_fract_z
Y1 Y 0.0000 0.3975 0.0000
In1 In 0.0000 0.7335 0.5000
Ag1 Ag 0.3333 0.6667 0.5000
Au1 Au 0.0000 0.0000 0.0000
```

Summary:
DFT total energy = -41.35 eV for the cell shown

11.
Hf2NiPb | PBE | optimized geometry

The structure in CIF format:
```
data_Hf2NiPb
_cell_length_a 6.873
_cell_length_b 6.873
_cell_length_c 6.873
_cell_angle_alpha 90.00
_cell_angle_beta 90.00
_cell_angle_gamma 90.00
_symmetry_space_group_name_H-M 'F -4 3 m'
_symmetry_Int_Tables_number 216
_symmetry_space_group_name_Hall 'F -4 2 3'
loop_
_atom_site_label
_atom_site_type_symbol
_atom_site_fract_x
_atom_site_fract_y
_atom_site_fract_z
Hf1 Hf 0.000 0.000 0.000
Hf2 Hf 0.250 0.250 0.250
Ni1 Ni 0.250 0.250 0.750
Pb1 Pb 0.000 0.000 0.500
```

Summary:
DFT total energy = -110.86 eV for the cell shown

12.
GdMgNb | PBE | optimized geometry

The structure in CIF format:
```
data_GdMgNb
_cell_length_a 6.818
_cell_length_b 6.818
_cell_length_c 6.818
_cell_angle_alpha 90.00
_cell_angle_beta 90.00
_cell_angle_gamma 90.00
_symmetry_space_group_name_H-M 'F -4 3 m'
_symmetry_Int_Tables_number 216
_symmetry_space_group_name_Hall 'F -4 2 3'
loop_
_atom_site_label
_atom_site_type_symbol
_atom_site_fract_x
_atom_site_fract_y
_atom_site_fract_z
Gd1 Gd 0.000 0.000 0.000
Mg1 Mg 0.250 0.250 0.250
Nb1 Nb 0.000 0.000 0.500
```

Summary:
DFT total energy = -53.76 eV for the cell shown